Material: K2AgOs2
Method: DFT, PBE
State: optimized geometry

Cell lengths 10.166, 10.166, 2.682 Å; angles 90.00, 90.00, 90.00 degrees
Atoms (fractional coordinates):
K1 0.200 0.300 0.000
K2 0.300 0.800 0.000
K3 0.700 0.200 0.000
K4 0.800 0.700 0.000
Ag1 0.000 0.000 0.500
Ag2 0.500 0.500 0.500
Os1 0.078 0.578 0.500
Os2 0.422 0.078 0.500
Os3 0.578 0.922 0.500
Os4 0.922 0.422 0.500

Properties
E = -43.135 eV for the cell shown
formation enthalpy at 0 K = 1187.7 meV per atom
polymorph energy (0 for the lowest one) = 0 meV/atom